A relaxed Pu3N2 crystal. Source: the Alexandria database, functional PBE.

Properties
ΔE_f (raw): -870 meV per atom
Energy: -12.7995 eV per atom
Spin magnetization: 6.26 μB per formula unit
Space group: No. 166

Cell: 3.4218 3.4218 9.2694 Å, 79.36 79.36 60.00°
With the nearest neighbours (Å) after each atom.
Fractional coordinates of all 5 atoms:
N  0.3886  0.3886  0.8341  6 Pu 2.37-2.48
N  0.6114  0.6114  0.1659  6 Pu 2.37-2.48
Pu  0.0000  0.0000  0.0000  6 N 2.48
Pu  0.7704  0.7704  0.6889  3 N 2.37
Pu  0.2296  0.2296  0.3111  3 N 2.37

---

A relaxed K4TbCe3S8 crystal. Source: the Alexandria database, functional PBE.

Properties
ΔE_f (raw): -1810 meV per atom
Energy: -5.5506 eV per atom
Spin magnetization: 3.02 μB per formula unit
Space group: No. 166

Cell: 8.3622 8.8057 8.3624 Å, 118.36 120.00 90.00°
With the nearest neighbours (Å) after each atom.
Fractional coordinates of all 16 atoms:
S  0.2588  0.2955  0.0271  1 Tb 2.81, 2 Ce 2.86-2.87
S  0.2643  0.2930  0.5285  3 Ce 2.85-2.86
S  0.2317  0.7045  0.4634  1 Tb 2.81, 2 Ce 2.86
S  0.2316  0.7045  0.9729  1 Tb 2.81, 2 Ce 2.86-2.87
S  0.7683  0.2955  0.5366  1 Tb 2.81, 2 Ce 2.86
S  0.7684  0.2955  0.0271  1 Tb 2.81, 2 Ce 2.86-2.87
S  0.7412  0.7045  0.9729  1 Tb 2.81, 2 Ce 2.86-2.87
S  0.7357  0.7070  0.4715  3 Ce 2.85-2.86
Tb  0.0000  0.5000  0.0000  6 S 2.81
Ce  0.5000  0.5000  0.5000  6 S 2.85-2.86
Ce  0.0000  0.5000  0.5000  6 S 2.85-2.86
Ce  0.5000  0.5000  0.0000  6 S 2.86-2.87
K  0.5000  0.0000  0.0000  6 S 3.28
K  0.5000  0.0000  0.5000  6 S 3.23-3.24
K  0.0000  0.0000  0.0000  6 S 3.23-3.24
K  0.0000  0.0000  0.5000  6 S 3.23-3.24

---

A relaxed BaTaCu crystal. Source: the Alexandria database, functional PBE.

Properties
Energy: -5.2840 eV per atom
Spin magnetization: 0.00 μB per formula unit
Formation energy from the elements: 0.673 eV/atom
Space group: No. 107
Offset from the most stable computed form: 0.3630 eV per atom

Cell: 7.0098 7.0098 7.0098 Å, 152.56 152.59 39.17°
With the nearest neighbours (Å) after each atom.
Fractional coordinates of all 3 atoms:
Cu  0.2976  0.2976  0.0000  4 Ta 2.63
Ba  0.9935  0.9935  0.0000  4 Ba 3.32, 4 Cu 3.50, 4 Ta 3.69
Ta  0.7090  0.7090  0.0000  4 Cu 2.63

---

A relaxed NbSbF crystal. Source: the Alexandria database, functional PBE.

Properties
ΔE_f (raw): -1166 meV per atom
Energy: -6.5207 eV per atom
Spin magnetization: 0.00 μB per formula unit
Space group: No. 2

Cell: 3.0299 7.5758 5.8688 Å, 74.80 90.01 78.16°
With the nearest neighbours (Å) after each atom.
Fractional coordinates of all 6 atoms:
F  0.5815  0.3278  0.2063  2 Nb 2.14
F  0.4185  0.6722  0.7937  2 Nb 2.14
Nb  0.1896  0.1173  0.3004  2 F 2.14
Nb  0.8104  0.8827  0.6996  2 F 2.14
Sb  0.1438  0.2073  0.7485  4 Nb 2.88-3.13, 2 Sb 3.03
Sb  0.8562  0.7927  0.2515  4 Nb 2.88-3.13, 2 Sb 3.03

---

A relaxed CeHo3Bi4 crystal. Source: the Alexandria database, functional PBE.

Properties
Energy: -5.2221 eV per atom
Spin magnetization: 0.80 μB per formula unit
Formation energy from the elements: -0.823 eV/atom
Space group: No. 65

Cell: 4.5022 7.7860 7.7860 Å, 109.47 90.00 90.00°
With the nearest neighbours (Å) after each atom.
Fractional coordinates of all 8 atoms:
Ce  0.5000  0.0000  0.0000  6 Bi 3.21
Bi  0.0000  0.7448  0.7448  4 Ho 3.15-3.18, 2 Ce 3.21
Bi  0.0000  0.2552  0.2552  4 Ho 3.15-3.18, 2 Ce 3.21
Bi  0.5000  0.2524  0.7476  5 Ho 3.15-3.18, 1 Ce 3.21
Bi  0.5000  0.7476  0.2524  5 Ho 3.15-3.18, 1 Ce 3.21
Ho  0.0000  0.5000  0.0000  6 Bi 3.18
Ho  0.0000  0.0000  0.5000  6 Bi 3.18
Ho  0.5000  0.5000  0.5000  6 Bi 3.15

---

A relaxed PaCrCoGe crystal. Source: the Alexandria database, functional PBE.

Properties
Energy: -7.7790 eV per atom
Spin magnetization: 0.00 μB per formula unit
Formation energy from the elements: -0.068 eV/atom
Space group: No. 216

Cell: 4.4462 4.4462 4.4462 Å, 60.00 60.00 60.00°
With the nearest neighbours (Å) after each atom.
Fractional coordinates of all 4 atoms:
Co  0.0000  0.0000  0.0000  4 Ge 2.72, 4 Pa 2.72
Pa  0.7500  0.7500  0.7500  4 Cr 2.72, 4 Co 2.72
Ge  0.2500  0.2500  0.2500  4 Cr 2.72, 4 Co 2.72
Cr  0.5000  0.5000  0.5000  4 Pa 2.72, 4 Ge 2.72

---

A relaxed U2Co4Ge3Ru crystal. Source: the Alexandria database, functional PBE.

Properties
Energy: -7.7094 eV per atom
Spin magnetization: 0.00 μB per formula unit
Formation energy from the elements: -0.297 eV/atom
Space group: No. 115

Cell: 3.7179 3.7179 10.9735 Å, 90.00 90.00 90.00°
With the nearest neighbours (Å) after each atom.
Fractional coordinates of all 10 atoms:
Co  0.5000  0.0000  0.6658  1 Ge 2.32
Co  0.0000  0.0000  0.0000  4 Ge 2.30
Co  0.0000  0.5000  0.3342  1 Ge 2.32
Co  0.5000  0.5000  0.0000  4 Ge 2.30
U  0.5000  0.0000  0.2654  4 Co 2.73, 4 Ge 3.06
U  0.0000  0.5000  0.7346  4 Co 2.73, 4 Ge 3.06
Ge  0.0000  0.0000  0.5000  4 Co 2.60, 4 Ru 2.63
Ge  0.5000  0.0000  0.8770  5 Co 2.30-2.32
Ge  0.0000  0.5000  0.1230  5 Co 2.30-2.32
Ru  0.5000  0.5000  0.5000  4 Co 2.60, 4 Ge 2.63

---

A relaxed CsRbNaHg2 crystal. Source: the Alexandria database, functional PBE.

Properties
Energy: -0.7727 eV per atom
Spin magnetization: 0.00 μB per formula unit
Formation energy from the elements: -0.024 eV/atom
Space group: No. 123
Offset from the most stable computed form: 0.0990 eV per atom

Cell: 6.1760 6.1760 6.5116 Å, 90.00 90.00 90.00°
With the nearest neighbours (Å) after each atom.
Fractional coordinates of all 5 atoms:
Hg  0.0000  0.5000  0.0000  2 Na 3.09
Hg  0.5000  0.0000  0.0000  2 Na 3.09
Rb  0.0000  0.0000  0.5000  2 Na 3.26
Na  0.0000  0.0000  0.0000  4 Hg 3.09, 2 Rb 3.26
Cs  0.5000  0.5000  0.5000  4 Rb 4.37, 8 Hg 4.49